Entry from Alexandria: ScHg3S after structural relaxation (PBE-GGA).

Results
Space-group type: Pm-3m
Fermi-level density of states (states/eV/cell): 6.9
Formation energy (no corrections) (kJ/mol of formula units): 262

a = 5.530 Å, b = 5.530 Å, c = 5.530 Å
α = 90.00°, β = 90.00°, γ = 90.00°
Positions (direct):
Sc: 0.000 0.000 0.000
Hg: 0.000 0.000 0.500
Hg: 0.000 0.500 0.000
Hg: 0.500 0.000 0.000
S: 0.500 0.500 0.500